Density functional theory data (PBE) for a relaxed Nd5CdBi2 crystal.

Properties
total magnetization: 0.0 Bohr magnetons per cell
mass density: 7.68 g cm⁻³
N(E_F): 32.00 states/eV/cell
raw total energy: -4.34 eV per atom
ΔH_f (0 K): -0.2801 eV/atom

The structure in CIF format:
```
data_Nd5CdBi2
_symmetry_space_group_name_H-M 'C m c m'
_symmetry_Int_Tables_number 63
_symmetry_space_group_name_Hall '-C 2c 2'
_cell_length_a 5.970
_cell_length_b 12.036
_cell_length_c 15.070
_cell_angle_alpha 90.00
_cell_angle_beta 90.00
_cell_angle_gamma 90.00
loop_
_atom_site_label
_atom_site_fract_x
_atom_site_fract_y
_atom_site_fract_z
Nd1 0.000 0.073 0.101
Nd2 0.000 0.377 0.051
Nd3 0.000 0.409 0.750
Cd1 0.000 0.291 0.250
Bi1 0.000 0.199 0.615
```